[1]
The following is a DFT calculation (GGA-PBE) of an optimized crystal structure of Tb6NdSc6.

Lattice parameters (Å, degrees): 6.4343 6.4343 10.9286 90.00 90.00 120.00
Space group P6/mmm (No. 191)
Asymmetric unit:
Tb 0.0000 0.0000 0.1593
Tb 0.3333 0.6667 0.0000
Tb 0.3333 0.6667 0.5000
Nd 0.0000 0.0000 0.5000
Sc 0.0000 0.5000 0.2564

## Properties
Raw total energy = -5.203 eV per atom
Volume = 30.1 A^3/atom
Magnetic moment = 1.11 μB per cell

[2]
The following is a DFT calculation (GGA-PBE) of an optimized crystal structure of TbNdSc.

Lattice parameters (Å, degrees): 3.5325 3.5325 14.6457 90.00 90.00 90.00
Space group I4mm (No. 107)
Asymmetric unit:
Tb 0.0000 0.0000 0.0000
Nd 0.0000 0.0000 0.6786
Sc 0.0000 0.0000 0.3415

## Properties
Raw total energy = -5.190 eV per atom
Volume = 30.5 A^3/atom
Magnetic moment = 0.00 μB per cell

[3]
The following is a DFT calculation (GGA-PBE) of an optimized crystal structure of Tb2NdSc4.

Lattice parameters (Å, degrees): 5.9092 7.6211 8.9815 90.26 90.27 105.27
Space group P1 (No. 1)
Asymmetric unit:
Tb 0.0000 0.0000 0.0000
Tb 0.0017 0.4919 0.5066
Tb 0.4289 0.2722 0.5761
Tb 0.5719 0.7147 0.4357
Nd 0.4253 0.7786 0.0691
Nd 0.8536 0.5531 0.1421
Sc 0.1393 0.9285 0.3637
Sc 0.1440 0.4192 0.8556
Sc 0.2840 0.8513 0.7171
Sc 0.2863 0.3399 0.2163
Sc 0.5698 0.2083 0.9262
Sc 0.7135 0.1346 0.2900
Sc 0.7148 0.6354 0.7861
Sc 0.8575 0.0624 0.6481

## Properties
Raw total energy = -5.561 eV per atom
Volume = 27.9 A^3/atom
Magnetic moment = 0.00 μB per cell

[4]
The following is a DFT calculation (GGA-PBE) of an optimized crystal structure of Tb5NdSc4.

Lattice parameters (Å, degrees): 5.3944 10.1907 11.1919 90.00 90.00 90.00
Space group Immm (No. 71)
Asymmetric unit:
Tb 0.0000 0.0000 0.0000
Tb 0.0000 0.3007 0.2018
Nd 0.0000 0.5000 0.0000
Sc 0.0000 0.0000 0.3073
Sc 0.0000 0.2451 0.5000

## Properties
Raw total energy = -5.046 eV per atom
Volume = 30.8 A^3/atom
Magnetic moment = 0.00 μB per cell